No. 1
# TlSiAu2Br

A relaxed structure of TlSiAu2Br (GGA-PBE, Alexandria).

a b c (Å): 5.212 5.217 5.212
angles (deg): 90.00 90.00 90.00
Each line ends with the local moment (μB).
Fractional coordinates of all 5 atoms:
Tl 0.500 0.500 0.500  0.02
Au 0.500 0.000 0.000  0.02
Au 0.000 0.000 0.500  0.03
Br 0.000 0.000 0.000  0.01
Si 0.000 0.500 0.000  0.11

## Properties
ΔE_f (raw): 4.36 eV per formula unit
total magnetization: 0.479 μB per formula unit

No. 2
# SmAuBr4

A relaxed structure of SmAuBr4 (GGA-PBE, Alexandria).

a b c (Å): 7.427 7.868 10.213
angles (deg): 103.73 101.95 113.99
Fractional coordinates of all 12 atoms:
Br 0.281 0.025 0.635
Br 0.854 0.610 0.635
Br 0.719 0.975 0.365
Br 0.146 0.390 0.365
Br 0.422 0.726 0.914
Br 0.992 0.188 0.914
Br 0.578 0.274 0.086
Br 0.008 0.812 0.086
Sm 0.191 0.941 0.883
Sm 0.809 0.059 0.117
Au 0.581 0.331 0.662
Au 0.419 0.669 0.338

## Properties
ΔE_f (raw): -7.44 eV per formula unit
total magnetization: 0.000 μB per formula unit